No. 1
LaMoBr2: optimized geometry, PBE.

Output
* total magnetic moment: 0.0 μB per formula unit
* volume: 98.2 Å³ per cell
* symmetry: No. 166
* E_tot: -19.3 eV per cell
* formation energy without anion corrections: -0.05 eV per atom

Cell lengths 9.928, 9.928, 9.928 Å; angles 19.80, 19.80, 19.80 degrees
Atoms (fractional coordinates):
Mo: 0.000 0.000 0.000
Br: 0.913 0.913 0.913
Br: 0.087 0.087 0.087
La: 0.500 0.500 0.500

---

No. 2
NaW2ICl: optimized geometry, PBE.

Output
* total magnetic moment: 1.9 μB per formula unit
* volume: 142.5 Å³ per cell
* symmetry: No. 123
* E_tot: -24.0 eV per cell
* formation energy without anion corrections: 1.33 eV per atom

Cell lengths 4.418, 7.300, 4.418 Å; angles 90.00, 90.00, 90.00 degrees
Atoms (fractional coordinates):
I: 0.000 0.500 0.000
Na: 0.500 0.500 0.500
W: 0.000 0.000 0.500
W: 0.500 0.000 0.000
Cl: 0.000 0.000 0.000

---

No. 3
Lu2NiBi: optimized geometry, PBE.

Output
* ΔE_f: -0.432 eV per atom
* total magnetic moment: 0.0 μB per formula unit
* volume: 93.4 Å³ per cell
* symmetry: No. 123
* E_tot: -20.4 eV per cell

Cell lengths 3.394, 3.394, 8.109 Å; angles 90.00, 90.00, 90.00 degrees
Atoms (fractional coordinates):
Ni: 0.500 0.500 0.000
Lu: 0.000 0.000 0.805
Lu: 0.000 0.000 0.195
Bi: 0.500 0.500 0.500

---

No. 4
Nb2ZnTeBr: optimized geometry, PBE.

Output
* total magnetic moment: 2.7 μB per formula unit
* volume: 140.4 Å³ per cell
* symmetry: No. 123
* E_tot: -20.0 eV per cell
* formation energy without anion corrections: 1.26 eV per atom

Cell lengths 5.223, 5.145, 5.223 Å; angles 90.00, 90.00, 90.00 degrees
Atoms (fractional coordinates):
Nb: 0.000 0.000 0.500
Nb: 0.500 0.000 0.000
Te: 0.000 0.000 0.000
Zn: 0.000 0.500 0.000
Br: 0.500 0.500 0.500

---

No. 5
POs3Rh: optimized geometry, PBE.

Output
* ΔE_f: 1.039 eV per atom
* total magnetic moment: 0.0 μB per formula unit
* volume: 80.3 Å³ per cell
* symmetry: No. 221
* E_tot: -41.3 eV per cell

Cell lengths 4.314, 4.314, 4.314 Å; angles 90.00, 90.00, 90.00 degrees
Atoms (fractional coordinates):
Rh: 0.500 0.500 0.500
Os: 0.000 0.500 0.000
Os: 0.000 0.000 0.500
Os: 0.500 0.000 0.000
P: 0.000 0.000 0.000

---

No. 6
Ba2MnZnN: optimized geometry, PBE.

Output
* total magnetic moment: 2.6 μB per formula unit
* volume: 131.1 Å³ per cell
* symmetry: No. 123
* E_tot: -23.8 eV per cell
* formation energy without anion corrections: -0.24 eV per atom

Cell lengths 5.906, 5.906, 3.759 Å; angles 90.00, 90.00, 90.00 degrees
Atoms (fractional coordinates):
Zn: 0.500 0.500 0.500
Mn: 0.000 0.000 0.500
Ba: 0.000 0.500 0.000
Ba: 0.500 0.000 0.000
N: 0.000 0.000 0.000

---

No. 7
Te2Se: optimized geometry, PBE.

Output
* total magnetic moment: 0.0 μB per formula unit
* volume: 90.9 Å³ per cell
* symmetry: No. 225
* E_tot: -8.1 eV per cell
* formation energy without anion corrections: 0.54 eV per atom

Cell lengths 5.047, 5.047, 5.047 Å; angles 60.00, 60.00, 60.00 degrees
Atoms (fractional coordinates):
Se: 0.000 0.000 0.000
Te: 0.750 0.750 0.750
Te: 0.250 0.250 0.250

---

No. 8
Cs3Tl4Hg2: optimized geometry, PBE.

Output
* ΔE_f: -0.122 eV per atom
* total magnetic moment: 0.0 μB per formula unit
* volume: 400.1 Å³ per cell
* symmetry: No. 2
* E_tot: -13.7 eV per cell

Cell lengths 5.442, 7.687, 10.885 Å; angles 72.18, 75.33, 69.30 degrees
Atoms (fractional coordinates):
Cs: 0.609 0.142 0.639
Cs: 0.000 0.000 0.000
Cs: 0.391 0.858 0.361
Tl: 0.284 0.368 0.064
Tl: 0.902 0.569 0.632
Tl: 0.098 0.431 0.368
Tl: 0.716 0.632 0.936
Hg: 0.693 0.372 0.240
Hg: 0.307 0.628 0.760